# 1
Material: CaMg2Cl
Method: DFT, PBE
State: optimized geometry

Geometry as POSCAR:
```
CaMg2Cl
1.0
3.853 0.000 0.000
0.000 5.847 0.000
0.000 0.000 9.425
Ca Mg Cl
2 4 2
direct
0.000 0.000 0.000 Ca
0.500 0.500 0.000 Ca
0.000 0.500 0.283 Mg
0.000 0.500 0.717 Mg
0.500 0.000 0.283 Mg
0.500 0.000 0.717 Mg
0.000 0.000 0.500 Cl
0.500 0.500 0.500 Cl
```

## Properties
- raw total energy (eV/atom) = -2.230
- formation energy from raw total energies (eV per atom) = -0.470
- offset from the most stable computed form (eV per formula unit) = 0.85

***

# 2
Material: TcAu
Method: DFT, PBE
State: optimized geometry

Geometry as POSCAR:
```
TcAu
1.0
4.257 0.000 0.000
-2.128 3.687 0.000
0.000 0.000 4.809
Tc Au
2 2
direct
0.000 0.000 0.000 Tc
0.000 0.000 0.500 Tc
0.333 0.667 0.250 Au
0.667 0.333 0.750 Au
```

## Properties
- raw total energy (eV/atom) = -5.979
- formation energy from the elements (eV per atom) = 0.843
- offset from the most stable computed form (eV per formula unit) = 1.53

***

# 3
Material: YHg3Os
Method: DFT, PBE
State: optimized geometry

Geometry as POSCAR:
```
YHg3Os
1.0
5.706 0.000 0.000
0.000 5.706 0.000
0.000 0.000 5.706
Y Hg Os
1 3 1
direct
0.000 0.000 0.000 Y
0.000 0.000 0.500 Hg
0.000 0.500 0.000 Hg
0.500 0.000 0.000 Hg
0.500 0.500 0.500 Os
```

## Properties
- raw total energy (eV/atom) = -2.060
- formation energy from the elements (eV per atom) = 1.660
- offset from the most stable computed form (eV per formula unit) = 5.40

***

# 4
Material: PmPu2N3
Method: DFT, PBE
State: optimized geometry

Geometry as POSCAR:
```
PmPu2N3
1.0
4.774 -4.340 0.000
4.774 4.340 0.000
0.000 0.000 4.756
Pm Pu N
2 4 6
direct
0.144 0.856 0.750 Pm
0.856 0.144 0.250 Pm
0.318 0.318 0.000 Pu
0.318 0.318 0.500 Pu
0.682 0.682 0.000 Pu
0.682 0.682 0.500 Pu
0.055 0.243 0.750 N
0.243 0.055 0.250 N
0.403 0.597 0.250 N
0.597 0.403 0.750 N
0.757 0.945 0.750 N
0.945 0.757 0.250 N
```

## Properties
- raw total energy (eV/atom) = -10.005
- formation energy from raw total energies (eV per atom) = -0.273
- offset from the most stable computed form (eV per formula unit) = 6.29